# ZnCrPF2, optimized geometry, DFT GGA+U
# - crystal system = tetragonal
# - D(E_F) (states/eV per cell) = 0.61
# - calculated total energy (eV per cell) = -22.89
data_ZnCrPF2
_chemical_formula_sum 'Zn1 Cr1 P1 F2'
_cell_length_a 3.798
_cell_length_b 3.798
_cell_length_c 5.818
_cell_angle_alpha 90.00
_cell_angle_beta 90.00
_cell_angle_gamma 90.00
_space_group_name_H-M_alt 'P 4/m m m'
_space_group_IT_number 123
_space_group_name_Hall '-P 4 2'
loop_
_atom_site_label
_atom_site_fract_x
_atom_site_fract_y
_atom_site_fract_z
_atom_site_occupancy
Zn1 0.000 0.000 0.000 1
Cr1 0.500 0.500 0.500 1
P1 0.000 0.000 0.500 1
F1 0.000 0.500 0.000 1